Entry 1:
NiPdRh2Cl | PBE | relaxed

a b c (Å): 4.4197 4.0652 4.4197
angles (deg): 90.00 90.00 90.00
Closest atoms and distances in Å follow each position.
Fractional coordinates of all 5 atoms:
Ni (0.0000, 0.5000, 0.0000)  2 Cl 2.03
Pd (0.5000, 0.5000, 0.5000)  8 Rh 3.00, 4 Ni 3.13
Rh (0.5000, 0.0000, 0.0000)  2 Cl 2.21
Rh (0.0000, 0.0000, 0.5000)  2 Cl 2.21
Cl (0.0000, 0.0000, 0.0000)  2 Ni 2.03, 4 Rh 2.21

Values from the calculation:
Energy (eV per cell): -23.97
Raw formation energy (eV/atom): 0.711



Entry 2:
GaNi2HIr | PBE | relaxed

a b c (Å): 3.7045 3.7045 3.8518
angles (deg): 90.00 90.00 90.00
Closest atoms and distances in Å follow each position.
Fractional coordinates of all 5 atoms:
H (0.0000, 0.0000, 0.0000)  4 Ni 1.85, 2 Ir 1.93
Ir (0.0000, 0.0000, 0.5000)  2 H 1.93
Ga (0.5000, 0.5000, 0.5000)  4 Ir 2.62, 8 Ni 2.67
Ni (0.5000, 0.0000, 0.0000)  2 H 1.85
Ni (0.0000, 0.5000, 0.0000)  2 H 1.85

Values from the calculation:
Energy (eV per cell): -27.89
E above lowest polymorph (eV/f.u.): 0.00